First-principles (PBE) data for LiCu3Ir after structural relaxation, as listed in the Alexandria database.

Cell lengths 3.958, 3.958, 3.958 Å; angles 90.00, 90.00, 90.00 degrees
Positions (direct):
Ir 0.500 0.500 0.500
Cu 0.000 0.500 0.000
Cu 0.000 0.000 0.500
Cu 0.500 0.000 0.000
Li 0.000 0.000 0.000

Values from the calculation:
Its space group is Pm-3m (221). The value obtained for the magnetization is 0.00 μB/f.u. The energy relative to the elements comes out at 0.661 eV per atom. The offset from the most stable computed form is 665 meV/atom.